A plane-wave DFT calculation with PBE was carried out for a relaxed structure of MnReTcGe.

Calculated values
- total magnetic moment (μB per formula unit) = 2.0
- energy relative to the elements (eV per atom) = -0.030
- SG = F-43m

a = 6.052 Å, b = 6.052 Å, c = 6.052 Å
α = 90.00°, β = 90.00°, γ = 90.00°
Positions (direct):
Mn  0.000  0.000  0.000
Mn  0.000  0.500  0.500
Mn  0.500  0.000  0.500
Mn  0.500  0.500  0.000
Re  0.250  0.250  0.250
Re  0.250  0.750  0.750
Re  0.750  0.250  0.750
Re  0.750  0.750  0.250
Tc  0.250  0.250  0.750
Tc  0.250  0.750  0.250
Tc  0.750  0.250  0.250
Tc  0.750  0.750  0.750
Ge  0.000  0.000  0.500
Ge  0.000  0.500  0.000
Ge  0.500  0.000  0.000
Ge  0.500  0.500  0.500